Material: K2SbAuCl6
Method: DFT, PBE
State: relaxed

The structure in CIF format:
```
data_K2SbAuCl6
_cell_length_a 7.560
_cell_length_b 7.560
_cell_length_c 7.560
_cell_angle_alpha 60.00
_cell_angle_beta 60.00
_cell_angle_gamma 60.00
_symmetry_space_group_name_H-M 'P 1'
_symmetry_Int_Tables_number 1
loop_
_symmetry_equiv_pos_as_xyz
'x,y,z'
loop_
_atom_site_label
_atom_site_type_symbol
_atom_site_fract_x
_atom_site_fract_y
_atom_site_fract_z
Cl1 Cl 0.249 0.751 0.249
Sb1 Sb 0.000 0.000 0.000
Cl2 Cl 0.751 0.751 0.249
K1 K 0.750 0.750 0.750
Cl3 Cl 0.249 0.249 0.751
Cl4 Cl 0.751 0.249 0.751
K2 K 0.250 0.250 0.250
Cl5 Cl 0.751 0.249 0.249
Cl6 Cl 0.249 0.751 0.751
Au1 Au 0.500 0.500 0.500
```

- ΔE_f (raw): -1061 kJ/mol of formula units
- Volume: 30.55 A^3/atom
- Excess energy over the best structure of this formula in the dataset: 88 meV/atom
- Uncorrected energy: -31.7 eV per formula unit
- Theoretical density: 3.3 g/cm3